No. 1
Below is an optimized crystal structure of DyHo4Mg5, with properties calculated at the PBE level.

a = 3.7829 Å, b = 3.7829 Å, c = 18.8431 Å
α = 90.00°, β = 90.00°, γ = 90.00°
With the nearest neighbours (Å) after each atom.
Fractional coordinates of all 10 atoms:
1 Dy 0.0000 0.0000 0.0000  8 Mg 3.28
2 Ho 0.0000 0.0000 0.2003  8 Mg 3.27
3 Ho 0.0000 0.0000 0.4001  8 Mg 3.27
4 Ho 0.0000 0.0000 0.5999  8 Mg 3.27
5 Ho 0.0000 0.0000 0.7997  8 Mg 3.27
6 Mg 0.5000 0.5000 0.1006  4 Ho 3.27, 4 Dy 3.28
7 Mg 0.5000 0.5000 0.3001  8 Ho 3.27
8 Mg 0.5000 0.5000 0.5000  8 Ho 3.27
9 Mg 0.5000 0.5000 0.6999  8 Ho 3.27
10 Mg 0.5000 0.5000 0.8994  4 Ho 3.27, 4 Dy 3.28

As for the calculated volume: 269.7 Å³ per cell. Its density of states at the Fermi level is 14.39 states/eV/f.u. The space-group type is No. 123. The formation energy is -7 kJ/mol of atoms.


No. 2
Below is an optimized crystal structure of CrAs2Se, with properties calculated at the PBE level.

a = 4.6308 Å, b = 4.6308 Å, c = 5.7528 Å
α = 105.43°, β = 105.43°, γ = 38.83°
With the nearest neighbours (Å) after each atom.
Fractional coordinates of all 4 atoms:
1 Cr 0.0000 0.0000 0.0000  5 As 2.44-2.52, 2 Se 2.46
2 As 0.5714 0.5714 0.3617  2 Cr 2.52, 1 As 2.66, 1 Se 2.73
3 As 0.7188 0.7188 0.0152  3 Cr 2.44-2.48, 1 As 2.66
4 Se 0.3808 0.3808 0.6638  2 Cr 2.46, 1 As 2.73

The calculation puts the uncorrected formation energy at -0.003 eV per atom. As for the calculated volume: 74.2 Å³ per cell. Its density of states at the Fermi level is 1.58 states/eV/f.u. The space-group type is No. 8.


No. 3
Below is an optimized crystal structure of AlSi2Se, with properties calculated at the PBE level.

a = 4.6156 Å, b = 4.6156 Å, c = 4.6156 Å
α = 60.00°, β = 60.00°, γ = 60.00°
With the nearest neighbours (Å) after each atom.
Fractional coordinates of all 4 atoms:
1 Al 0.0000 0.0000 0.0000  8 Si 2.83
2 Si 0.2500 0.2500 0.2500  4 Se 2.83, 4 Al 2.83
3 Si 0.7500 0.7500 0.7500  4 Se 2.83, 4 Al 2.83
4 Se 0.5000 0.5000 0.5000  8 Si 2.83

The calculation puts the uncorrected formation energy at 0.499 eV per atom. The value obtained for the polymorph energy (0 for the lowest one) is 536 meV per atom. As for the calculated volume: 69.5 Å³ per cell. Its density of states at the Fermi level is 1.71 states/eV/f.u. The space-group type is No. 225.


No. 4
Below is an optimized crystal structure of CaTb2InPd4, with properties calculated at the PBE level.

a = 8.5283 Å, b = 8.5283 Å, c = 8.5283 Å
α = 33.28°, β = 33.28°, γ = 33.28°
With the nearest neighbours (Å) after each atom.
Fractional coordinates of all 8 atoms:
1 Ca 0.0000 0.0000 0.0000  8 Pd 3.02-3.06
2 Tb 0.2467 0.2467 0.2467  8 Pd 2.90-3.18
3 Tb 0.7533 0.7533 0.7533  8 Pd 2.90-3.18
4 In 0.5000 0.5000 0.5000  8 Pd 2.93-2.98
5 Pd 0.1267 0.1267 0.1267  4 Tb 2.90-2.98, 3 In 2.98, 1 Ca 3.06
6 Pd 0.3785 0.3785 0.3785  1 In 2.93, 4 Tb 2.99-3.18, 3 Ca 3.02
7 Pd 0.6215 0.6215 0.6215  1 In 2.93, 4 Tb 2.99-3.18, 3 Ca 3.02
8 Pd 0.8733 0.8733 0.8733  4 Tb 2.90-2.98, 3 In 2.98, 1 Ca 3.06

As for the calculated volume: 166.3 Å³ per cell. Its density of states at the Fermi level is 5.70 states/eV/f.u. The space-group type is No. 166. The formation energy is -74 kJ/mol of atoms.


No. 5
Below is an optimized crystal structure of Cs2Hg2I, with properties calculated at the PBE level.

a = 11.3362 Å, b = 11.3362 Å, c = 11.3362 Å
α = 156.14°, β = 156.14°, γ = 34.00°
With the nearest neighbours (Å) after each atom.
Fractional coordinates of all 5 atoms:
1 Cs 0.1045 0.1045 0.0000  4 Hg 3.93, 4 I 4.01
2 Cs 0.8955 0.8955 0.0000  4 Hg 3.93, 4 I 4.01
3 Hg 0.2500 0.7500 0.5000  4 Hg 3.31
4 Hg 0.7500 0.2500 0.5000  4 Hg 3.31
5 I 0.5000 0.5000 0.0000  8 Cs 4.01

The calculation puts the uncorrected formation energy at -0.723 eV per atom. The value obtained for the polymorph energy (0 for the lowest one) is 0 meV per atom. As for the calculated volume: 238.2 Å³ per cell. Its density of states at the Fermi level is 2.21 states/eV/f.u. The space-group type is No. 139.


No. 6
Below is an optimized crystal structure of Fe2MoAs, with properties calculated at the PBE level.

a = 4.4629 Å, b = 4.4629 Å, c = 4.4629 Å
α = 130.29°, β = 130.29°, γ = 72.94°
With the nearest neighbours (Å) after each atom.
Fractional coordinates of all 4 atoms:
1 Fe 0.2500 0.7500 0.5000  4 As 2.60, 4 Mo 2.60, 4 Fe 2.65
2 Fe 0.7500 0.2500 0.5000  4 As 2.60, 4 Mo 2.60, 4 Fe 2.65
3 Mo 0.0000 0.0000 0.0000  8 Fe 2.60, 4 As 2.65
4 As 0.5000 0.5000 0.0000  8 Fe 2.60, 4 Mo 2.65

As for the calculated volume: 50.5 Å³ per cell. Its density of states at the Fermi level is 4.78 states/eV/f.u. The space-group type is No. 139. The formation energy is 15 kJ/mol of atoms.


No. 7
Below is an optimized crystal structure of Cr2ReAsAu, with properties calculated at the PBE level.

a = 4.7901 Å, b = 4.7901 Å, c = 4.6576 Å
α = 90.00°, β = 90.00°, γ = 90.00°
With the nearest neighbours (Å) after each atom.
Fractional coordinates of all 5 atoms:
1 Cr 0.0000 0.5000 0.0000  2 Re 2.40
2 Cr 0.5000 0.0000 0.0000  2 Re 2.40
3 Re 0.0000 0.0000 0.0000  2 As 2.33, 4 Cr 2.40
4 As 0.0000 0.0000 0.5000  2 Re 2.33
5 Au 0.5000 0.5000 0.5000  8 Cr 3.34, 4 As 3.39

As for the calculated volume: 106.9 Å³ per cell. Its density of states at the Fermi level is 2.57 states/eV/f.u. The space-group type is No. 123. The formation energy is 98 kJ/mol of atoms.


No. 8
Below is an optimized crystal structure of KAg2HgPb, with properties calculated at the PBE level.

a = 5.4149 Å, b = 5.4149 Å, c = 6.7689 Å
α = 90.00°, β = 90.00°, γ = 90.00°
With the nearest neighbours (Å) after each atom.
Fractional coordinates of all 5 atoms:
1 K 0.0000 0.0000 0.0000  2 Pb 3.38
2 Ag 0.0000 0.5000 0.5000  2 Pb 2.71
3 Ag 0.5000 0.0000 0.5000  2 Pb 2.71
4 Hg 0.5000 0.5000 0.0000  4 K 3.83
5 Pb 0.0000 0.0000 0.5000  4 Ag 2.71

As for the calculated volume: 198.5 Å³ per cell. Its density of states at the Fermi level is 2.56 states/eV/f.u. The space-group type is No. 123. The formation energy is 27 kJ/mol of atoms.


No. 9
Below is an optimized crystal structure of Ba2Na2F, with properties calculated at the PBE level.

a = 7.6799 Å, b = 7.6799 Å, c = 7.1413 Å
α = 90.00°, β = 90.00°, γ = 90.00°
With the nearest neighbours (Å) after each atom.
Fractional coordinates of all 10 atoms:
1 Ba 0.1949 0.3051 0.0000  2 F 2.78
2 Ba 0.3051 0.8051 0.0000  2 F 2.78
3 Ba 0.6949 0.1949 0.0000  2 F 2.78
4 Ba 0.8051 0.6949 0.0000  2 F 2.78
5 Na 0.1510 0.6510 0.5000  1 Na 3.28
6 Na 0.3490 0.1510 0.5000  1 Na 3.28
7 Na 0.6510 0.8490 0.5000  1 Na 3.28
8 Na 0.8490 0.3490 0.5000  1 Na 3.28
9 F 0.0000 0.0000 0.0000  4 Ba 2.78
10 F 0.5000 0.5000 0.0000  4 Ba 2.78

The calculation puts the uncorrected formation energy at -0.957 eV per atom. As for the calculated volume: 421.2 Å³ per cell. Its density of states at the Fermi level is 4.13 states/eV/f.u. The space-group type is No. 127.


No. 10
Below is an optimized crystal structure of TeIrRh, with properties calculated at the PBE level.

a = 4.2933 Å, b = 4.2933 Å, c = 4.2933 Å
α = 60.00°, β = 60.00°, γ = 60.00°
With the nearest neighbours (Å) after each atom.
Fractional coordinates of all 3 atoms:
1 Te 0.0000 0.0000 0.0000  4 Rh 2.63, 4 Ir 2.63
2 Ir 0.2500 0.2500 0.2500  4 Te 2.63
3 Rh 0.7500 0.7500 0.7500  4 Te 2.63

The calculation puts the uncorrected formation energy at 0.108 eV per atom. The value obtained for the polymorph energy (0 for the lowest one) is 0 meV per atom. As for the calculated volume: 56.0 Å³ per cell. Its density of states at the Fermi level is 2.12 states/eV/f.u. The space-group type is No. 216.


No. 11
Below is an optimized crystal structure of Tb3Sm6Dy2Sc, with properties calculated at the PBE level.

a = 6.1894 Å, b = 6.1894 Å, c = 11.7632 Å
α = 95.02°, β = 95.02°, γ = 119.99°
With the nearest neighbours (Å) after each atom.
Fractional coordinates of all 12 atoms:
1 Tb 0.0000 0.0000 0.0000  6 Tb 3.57, 6 Sm 3.58-3.59
2 Tb 0.3334 0.6666 0.0000  6 Tb 3.57-3.58, 6 Sm 3.58-3.60
3 Tb 0.6666 0.3334 0.0000  6 Tb 3.57-3.58, 6 Sm 3.58-3.60
4 Sm 0.0875 0.4180 0.2532  1 Sc 3.52, 2 Dy 3.53, 6 Sm 3.54-3.59, 3 Tb 3.58-3.60
5 Sm 0.2514 0.2514 0.7473  1 Sc 3.52, 2 Dy 3.53, 6 Sm 3.55-3.59, 3 Tb 3.58-3.59
6 Sm 0.4180 0.0875 0.2532  1 Sc 3.52, 2 Dy 3.53, 6 Sm 3.54-3.59, 3 Tb 3.58-3.60
7 Sm 0.5820 0.9125 0.7468  1 Sc 3.52, 2 Dy 3.53, 6 Sm 3.54-3.59, 3 Tb 3.58-3.60
8 Sm 0.7486 0.7486 0.2527  1 Sc 3.52, 2 Dy 3.53, 6 Sm 3.55-3.59, 3 Tb 3.58-3.59
9 Sm 0.9125 0.5820 0.7468  1 Sc 3.52, 2 Dy 3.53, 6 Sm 3.54-3.59, 3 Tb 3.58-3.60
10 Dy 0.1666 0.8334 0.5000  6 Sm 3.53, 3 Dy 3.57-3.58, 3 Sc 3.57
11 Dy 0.8334 0.1666 0.5000  6 Sm 3.53, 3 Dy 3.57-3.58, 3 Sc 3.57
12 Sc 0.5000 0.5000 0.5000  6 Sm 3.52, 6 Dy 3.57

As for the calculated volume: 384.3 Å³ per cell. Its density of states at the Fermi level is 14.76 states/eV/f.u. The space-group type is No. 12. The formation energy is 2 kJ/mol of atoms.


No. 12
Below is an optimized crystal structure of MoPbS2Cl, with properties calculated at the PBE level.

a = 5.1402 Å, b = 5.1402 Å, c = 5.1050 Å
α = 90.00°, β = 90.00°, γ = 90.00°
With the nearest neighbours (Å) after each atom.
Fractional coordinates of all 5 atoms:
1 Mo 0.0000 0.0000 0.0000  8 S 3.62, 4 Cl 3.63
2 Pb 0.5000 0.5000 0.5000  2 Cl 2.55, 4 S 2.57
3 S 0.0000 0.5000 0.5000  2 Pb 2.57
4 S 0.5000 0.0000 0.5000  2 Pb 2.57
5 Cl 0.5000 0.5000 0.0000  2 Pb 2.55

The calculation puts the uncorrected formation energy at 0.867 eV per atom. The value obtained for the polymorph energy (0 for the lowest one) is 1075 meV per atom. As for the calculated volume: 134.9 Å³ per cell. Its density of states at the Fermi level is 3.40 states/eV/f.u. The space-group type is No. 123.


Please write out number 2 again, unchanged.
Below is an optimized crystal structure of CrAs2Se, with properties calculated at the PBE level.

a = 4.6308 Å, b = 4.6308 Å, c = 5.7528 Å
α = 105.43°, β = 105.43°, γ = 38.83°
With the nearest neighbours (Å) after each atom.
Fractional coordinates of all 4 atoms:
1 Cr 0.0000 0.0000 0.0000  5 As 2.44-2.52, 2 Se 2.46
2 As 0.5714 0.5714 0.3617  2 Cr 2.52, 1 As 2.66, 1 Se 2.73
3 As 0.7188 0.7188 0.0152  3 Cr 2.44-2.48, 1 As 2.66
4 Se 0.3808 0.3808 0.6638  2 Cr 2.46, 1 As 2.73

The calculation puts the uncorrected formation energy at -0.003 eV per atom. As for the calculated volume: 74.2 Å³ per cell. Its density of states at the Fermi level is 1.58 states/eV/f.u. The space-group type is No. 8.